# Pr3Nd2PuTe6

Pr3Nd2PuTe6 after structural relaxation (PBE, Alexandria).

Properties
Formation energy without anion corrections ... -1.389 eV per atom
Total DFT energy (no corrections) ... -6.143 eV/atom

Cell: 10.076 10.076 9.052 Å, 103.08 103.08 25.71°
Positions (direct):
Pr1 0.000 0.000 0.000
Pr2 0.332 0.332 0.665
Pr3 0.668 0.668 0.335
Nd1 0.334 0.334 0.169
Nd2 0.666 0.666 0.831
Pu1 0.000 0.000 0.500
Te1 0.164 0.164 0.583
Te2 0.168 0.168 0.082
Te3 0.499 0.499 0.744
Te4 0.501 0.501 0.256
Te5 0.832 0.832 0.918
Te6 0.836 0.836 0.417



# PrNdPuTl

PrNdPuTl after structural relaxation (PBE, Alexandria).

Properties
Total DFT energy (no corrections) ... -6.546 eV/atom

Cell: 7.867 7.867 7.867 Å, 90.00 90.00 90.00°
Positions (direct):
Pr1 0.000 0.000 0.000
Pr2 0.000 0.500 0.500
Pr3 0.500 0.000 0.500
Pr4 0.500 0.500 0.000
Nd1 0.000 0.000 0.500
Nd2 0.000 0.500 0.000
Nd3 0.500 0.000 0.000
Nd4 0.500 0.500 0.500
Pu1 0.250 0.250 0.750
Pu2 0.250 0.750 0.250
Pu3 0.750 0.250 0.250
Pu4 0.750 0.750 0.750
Tl1 0.250 0.250 0.250
Tl2 0.250 0.750 0.750
Tl3 0.750 0.250 0.750
Tl4 0.750 0.750 0.250



# PrNdTmPu

PrNdTmPu after structural relaxation (PBE, Alexandria).

Properties
Total DFT energy (no corrections) ... -6.873 eV/atom

Cell: 8.041 8.041 8.041 Å, 90.00 90.00 90.00°
Positions (direct):
Pr1 0.000 0.000 0.000
Pr2 0.000 0.500 0.500
Pr3 0.500 0.000 0.500
Pr4 0.500 0.500 0.000
Nd1 0.000 0.000 0.500
Nd2 0.000 0.500 0.000
Nd3 0.500 0.000 0.000
Nd4 0.500 0.500 0.500
Tm1 0.250 0.250 0.750
Tm2 0.250 0.750 0.250
Tm3 0.750 0.250 0.250
Tm4 0.750 0.750 0.750
Pu1 0.250 0.250 0.250
Pu2 0.250 0.750 0.750
Pu3 0.750 0.250 0.750
Pu4 0.750 0.750 0.250